1.
CaNdCu | PBE | optimized geometry

Calculated values
As for the energy of formation from the pure elements: -102 meV/atom. Its uncorrected energy is -3.724 eV/atom.

Cell: 4.524 3.860 10.367 Å, 100.93 90.00 90.00°
Sites, in units of the cell vectors:
1 Cu 0.250 0.537 0.071
2 Cu 0.750 0.463 0.929
3 Ca 0.250 0.692 0.382
4 Ca 0.750 0.308 0.618
5 Nd 0.250 0.925 0.852
6 Nd 0.750 0.075 0.148

2.
CaNd3Cu4 | PBE | optimized geometry

Calculated values
As for the energy of formation from the pure elements: -134 meV/atom. Its uncorrected energy is -4.220 eV/atom.

Cell: 5.076 7.140 10.149 Å, 90.00 90.00 90.00°
Sites, in units of the cell vectors:
1 Cu 0.998 0.244 0.750
2 Cu 0.998 0.756 0.750
3 Cu 0.500 0.244 0.500
4 Cu 0.500 0.756 0.500
5 Cu 0.500 0.244 0.000
6 Cu 0.002 0.244 0.250
7 Cu 0.500 0.756 0.000
8 Cu 0.002 0.756 0.250
9 Nd 0.501 0.500 0.250
10 Nd 0.000 0.000 0.500
11 Nd 0.499 0.500 0.750
12 Nd 0.499 0.000 0.750
13 Nd 0.000 0.000 0.000
14 Nd 0.501 0.000 0.250
15 Ca 0.000 0.500 0.000
16 Ca 0.000 0.500 0.500

3.
CaNdCu | PBE | optimized geometry

Calculated values
As for the energy of formation from the pure elements: 81 meV/atom. Its uncorrected energy is -3.541 eV/atom.

Cell: 3.974 3.974 6.928 Å, 90.00 90.00 120.00°
Sites, in units of the cell vectors:
1 Nd 0.000 0.000 0.079
2 Ca 0.333 0.667 0.594
3 Cu 0.667 0.333 0.327

no.,magnetization (μB per cell)
1,0.000
2,0.000
3,0.000